DFT (PBE) results for an optimized crystal structure of NaEuGdIr.

Output
Spin magnetization (μB/f.u.): 0.028
D(E_F) (states/eV/cell): 10.906
Energy relative to the elements (kJ/mol of formula units): -69

Cell lengths 7.263, 7.263, 7.263 Å; angles 90.00, 90.00, 90.00 degrees
Fractional coordinates of all 16 atoms:
Na: 0.000 0.000 0.000
Na: 0.000 0.500 0.500
Na: 0.500 0.000 0.500
Na: 0.500 0.500 0.000
Eu: 0.250 0.250 0.750
Eu: 0.250 0.750 0.250
Eu: 0.750 0.250 0.250
Eu: 0.750 0.750 0.750
Gd: 0.250 0.250 0.250
Gd: 0.250 0.750 0.750
Gd: 0.750 0.250 0.750
Gd: 0.750 0.750 0.250
Ir: 0.000 0.000 0.500
Ir: 0.000 0.500 0.000
Ir: 0.500 0.000 0.000
Ir: 0.500 0.500 0.500